Entry 1:
The following is a DFT calculation (PBE) of a relaxed structure of Ba3LiHg2.

a = 4.1672 Å, b = 4.1672 Å, c = 13.3511 Å
α = 90.00°, β = 90.00°, γ = 90.00°
Space group P4mm (No. 99)
Inequivalent atoms, fractional coordinates:
Ba: 0.0000 0.0000 0.0000
Ba: 0.0000 0.0000 0.3048
Ba: 0.5000 0.5000 0.7257
Li: 0.5000 0.5000 0.4825
Hg: 0.0000 0.0000 0.5741
Hg: 0.5000 0.5000 0.1514

Uncorrected energy, eV/atom: -1.706
Calculated volume, Å³/atom: 38.64

Entry 2:
The following is a DFT calculation (PBE) of a relaxed structure of BaLiHg.

a = 3.9354 Å, b = 3.9354 Å, c = 12.1805 Å
α = 90.00°, β = 90.00°, γ = 90.00°
Space group P4/nmm (No. 129, origin choice 2)
Inequivalent atoms, fractional coordinates:
Ba: 0.2500 0.2500 0.1538
Li: 0.2500 0.2500 0.4378
Hg: 0.2500 0.2500 0.6697

Uncorrected energy, eV/atom: -1.652
Calculated volume, Å³/atom: 31.44

Entry 3:
The following is a DFT calculation (PBE) of a relaxed structure of BaLiHg.

a = 4.0207 Å, b = 4.0207 Å, c = 11.4187 Å
α = 90.00°, β = 90.00°, γ = 90.00°
Space group I4mm (No. 107)
Inequivalent atoms, fractional coordinates:
Ba: 0.0000 0.0000 0.0000
Li: 0.0000 0.0000 0.7113
Hg: 0.0000 0.0000 0.3126

Uncorrected energy, eV/atom: -1.670
Calculated volume, Å³/atom: 30.77

Entry 4:
The following is a DFT calculation (PBE) of a relaxed structure of BaMgHg.

a = 5.2178 Å, b = 8.5697 Å, c = 8.6733 Å
α = 90.00°, β = 90.00°, γ = 90.00°
Space group Imm2 (No. 44)
Inequivalent atoms, fractional coordinates:
Ba: 0.0000 0.0000 0.0000
Ba: 0.0000 0.5000 0.0923
Mg: 0.0000 0.3123 0.7109
Hg: 0.0000 0.1997 0.3806

Uncorrected energy, eV/atom: -1.576
Calculated volume, Å³/atom: 32.32

Entry 5:
The following is a DFT calculation (PBE) of a relaxed structure of BaMgHg6.

a = 6.9004 Å, b = 6.9004 Å, c = 5.1371 Å
α = 90.00°, β = 90.00°, γ = 120.00°
Space group P-6m2 (No. 187)
Inequivalent atoms, fractional coordinates:
Ba: 0.0000 0.0000 0.0000
Mg: 0.3333 0.6667 0.5000
Hg: 0.0190 0.5095 0.0000
Hg: 0.3642 0.1821 0.5000

Uncorrected energy, eV/atom: -0.869
Calculated volume, Å³/atom: 26.48

Entry 6:
The following is a DFT calculation (PBE) of a relaxed structure of BaMgHg.

a = 4.7781 Å, b = 4.7781 Å, c = 8.6746 Å
α = 90.00°, β = 90.00°, γ = 90.00°
Space group P4/nmm (No. 129, origin choice 2)
Inequivalent atoms, fractional coordinates:
Ba: 0.2500 0.2500 0.1628
Mg: 0.2500 0.7500 0.5000
Hg: 0.2500 0.2500 0.7097

Uncorrected energy, eV/atom: -1.623
Calculated volume, Å³/atom: 33.01

Entry 7:
The following is a DFT calculation (PBE) of a relaxed structure of BaMgHgSb2.

a = 4.8296 Å, b = 4.8296 Å, c = 8.1695 Å
α = 90.00°, β = 90.00°, γ = 120.00°
Space group P3m1 (No. 156)
Inequivalent atoms, fractional coordinates:
Ba: 0.0000 0.0000 0.0000
Mg: 0.3333 0.6667 0.6246
Hg: 0.6667 0.3333 0.3687
Sb: 0.3333 0.6667 0.2648
Sb: 0.6667 0.3333 0.7368

Uncorrected energy, eV/atom: -2.994
Calculated volume, Å³/atom: 33.00

Entry 8:
The following is a DFT calculation (PBE) of a relaxed structure of BaMgSnHg2.

a = 4.7180 Å, b = 4.7180 Å, c = 12.9626 Å
α = 90.00°, β = 90.00°, γ = 90.00°
Space group I-4m2 (No. 119)
Inequivalent atoms, fractional coordinates:
Ba: 0.0000 0.0000 0.0000
Mg: 0.0000 0.5000 0.2500
Sn: 0.0000 0.5000 0.7500
Hg: 0.0000 0.0000 0.3874

Uncorrected energy, eV/atom: -2.031
Calculated volume, Å³/atom: 28.85

Entry 9:
The following is a DFT calculation (PBE) of a relaxed structure of Ba2TcHgN6.

a = 5.9592 Å, b = 5.9679 Å, c = 5.9780 Å
α = 60.11°, β = 61.00°, γ = 60.28°
Space group P-1 (No. 2)
Inequivalent atoms, fractional coordinates:
Ba: 0.2500 0.2496 0.2501
Tc: 0.0000 0.0000 0.0000
Hg: 0.5000 0.5000 0.5000
N: 0.1966 0.7622 0.2709
N: 0.2375 0.7550 0.7943
N: 0.2534 0.2090 0.7885

Uncorrected energy, eV/atom: -5.742
Calculated volume, Å³/atom: 15.19

Entry 10:
The following is a DFT calculation (PBE) of a relaxed structure of Ba2TcHgN6.

a = 10.3217 Å, b = 5.9662 Å, c = 6.0726 Å
α = 90.00°, β = 125.98°, γ = 90.00°
Space group C2/m (No. 12)
Inequivalent atoms, fractional coordinates:
Ba: 0.2495 0.0000 0.2509
Tc: 0.0000 0.0000 0.5000
Hg: 0.0000 0.5000 0.0000
N: 0.0194 0.2287 0.7453
N: 0.2359 0.0000 0.6939

Uncorrected energy, eV/atom: -5.742
Calculated volume, Å³/atom: 15.13

Entry 11:
The following is a DFT calculation (PBE) of a relaxed structure of BaNa2Hg2.

a = 4.6906 Å, b = 4.6906 Å, c = 14.5656 Å
α = 90.00°, β = 90.00°, γ = 90.00°
Space group I4/mmm (No. 139)
Inequivalent atoms, fractional coordinates:
Ba: 0.0000 0.0000 0.0000
Na: 0.0000 0.5000 0.2500
Hg: 0.0000 0.0000 0.3939

Uncorrected energy, eV/atom: -1.341
Calculated volume, Å³/atom: 32.05

Entry 12:
The following is a DFT calculation (PBE) of a relaxed structure of BaNa2Hg4.

a = 8.0663 Å, b = 8.0663 Å, c = 6.0900 Å
α = 90.00°, β = 90.00°, γ = 90.00°
Space group I4/mmm (No. 139)
Inequivalent atoms, fractional coordinates:
Ba: 0.0000 0.0000 0.0000
Na: 0.0000 0.5000 0.2500
Hg: 0.1899 0.1899 0.5000

Uncorrected energy, eV/atom: -1.198
Calculated volume, Å³/atom: 28.30

Entry 13:
The following is a DFT calculation (PBE) of a relaxed structure of BaNb2Hg.

a = 7.2467 Å, b = 7.2467 Å, c = 7.2467 Å
α = 90.00°, β = 90.00°, γ = 90.00°
Space group F-43m (No. 216)
Inequivalent atoms, fractional coordinates:
Ba: 0.0000 0.0000 0.0000
Nb: 0.0000 0.0000 0.5000
Nb: 0.2500 0.2500 0.7500
Hg: 0.2500 0.2500 0.2500

Uncorrected energy, eV/atom: -4.828
Calculated volume, Å³/atom: 23.78

Entry 14:
The following is a DFT calculation (PBE) of a relaxed structure of Ba2NbHgS6.

a = 10.0917 Å, b = 10.0917 Å, c = 10.0917 Å
α = 90.00°, β = 90.00°, γ = 90.00°
Space group Fm-3m (No. 225)
Inequivalent atoms, fractional coordinates:
Ba: 0.2500 0.2500 0.2500
Nb: 0.0000 0.0000 0.0000
Hg: 0.0000 0.0000 0.5000
S: 0.0000 0.0000 0.2413

Uncorrected energy, eV/atom: -4.880
Calculated volume, Å³/atom: 25.69

Entry 15:
The following is a DFT calculation (PBE) of a relaxed structure of BaNdHg6.

a = 6.9074 Å, b = 6.9074 Å, c = 5.1929 Å
α = 90.00°, β = 90.00°, γ = 120.00°
Space group P-6m2 (No. 187)
Inequivalent atoms, fractional coordinates:
Ba: 0.0000 0.0000 0.0000
Nd: 0.3333 0.6667 0.5000
Hg: 0.0013 0.5007 0.0000
Hg: 0.3604 0.1802 0.5000

Uncorrected energy, eV/atom: -1.426
Calculated volume, Å³/atom: 26.82

Entry 16:
The following is a DFT calculation (PBE) of a relaxed structure of BaNdHgSb2.

a = 4.8207 Å, b = 19.0551 Å, c = 7.3027 Å
α = 90.00°, β = 90.00°, γ = 90.00°
Space group Cmc2_1 (No. 36)
Inequivalent atoms, fractional coordinates:
Ba: 0.0000 0.2022 0.0000
Nd: 0.0000 0.0091 0.7020
Hg: 0.0000 0.4060 0.8646
Sb: 0.0000 0.1602 0.4906
Sb: 0.0000 0.4291 0.4552

Uncorrected energy, eV/atom: -3.818
Calculated volume, Å³/atom: 33.54

Entry 17:
The following is a DFT calculation (PBE) of a relaxed structure of BaNiHg2.

a = 7.4932 Å, b = 7.4932 Å, c = 7.4932 Å
α = 90.00°, β = 90.00°, γ = 90.00°
Space group F-43m (No. 216)
Inequivalent atoms, fractional coordinates:
Ba: 0.0000 0.0000 0.0000
Ni: 0.2500 0.2500 0.7500
Hg: 0.0000 0.0000 0.5000
Hg: 0.2500 0.2500 0.2500

Uncorrected energy, eV/atom: -1.989
Calculated volume, Å³/atom: 26.30

Entry 18:
The following is a DFT calculation (PBE) of a relaxed structure of BaNiHgSe3.

a = 4.1461 Å, b = 14.1333 Å, c = 10.6563 Å
α = 90.00°, β = 90.00°, γ = 90.00°
Space group Cmcm (No. 63)
Inequivalent atoms, fractional coordinates:
Ba: 0.0000 0.2324 0.2500
Ni: 0.0000 0.0000 0.0000
Hg: 0.0000 0.4739 0.7500
Se: 0.0000 0.0905 0.7500
Se: 0.0000 0.3810 0.5368

Uncorrected energy, eV/atom: -3.581
Calculated volume, Å³/atom: 26.02

Entry 19:
The following is a DFT calculation (PBE) of a relaxed structure of BaNiHgSe3.

a = 4.3021 Å, b = 12.4715 Å, c = 11.4608 Å
α = 90.00°, β = 90.00°, γ = 90.00°
Space group Cmcm (No. 63)
Inequivalent atoms, fractional coordinates:
Ba: 0.0000 0.2254 0.2500
Ni: 0.0000 0.0661 0.7500
Hg: 0.0000 0.5000 0.0000
Se: 0.0000 0.1485 0.5644
Se: 0.0000 0.4846 0.7500

Uncorrected energy, eV/atom: -3.698
Calculated volume, Å³/atom: 25.62

Entry 20:
The following is a DFT calculation (PBE) of a relaxed structure of BaNiHgTe3.

a = 4.2825 Å, b = 14.7575 Å, c = 11.5519 Å
α = 90.00°, β = 90.00°, γ = 90.00°
Space group Cmcm (No. 63)
Inequivalent atoms, fractional coordinates:
Ba: 0.0000 0.2319 0.2500
Ni: 0.0000 0.0000 0.0000
Hg: 0.0000 0.4578 0.7500
Te: 0.0000 0.0847 0.7500
Te: 0.0000 0.3812 0.5273

Uncorrected energy, eV/atom: -3.267
Calculated volume, Å³/atom: 30.42

Entry 21:
The following is a DFT calculation (PBE) of a relaxed structure of BaNiHgTe3.

a = 4.4787 Å, b = 13.4238 Å, c = 11.9731 Å
α = 90.00°, β = 90.00°, γ = 90.00°
Space group Cmcm (No. 63)
Inequivalent atoms, fractional coordinates:
Ba: 0.0000 0.2105 0.2500
Ni: 0.0000 0.0916 0.7500
Hg: 0.0000 0.5000 0.0000
Te: 0.0000 0.1653 0.5562
Te: 0.0000 0.4948 0.2500

Uncorrected energy, eV/atom: -3.409
Calculated volume, Å³/atom: 29.99

Entry 22:
The following is a DFT calculation (PBE) of a relaxed structure of BaNpHg.

a = 7.7007 Å, b = 7.7007 Å, c = 7.7007 Å
α = 90.00°, β = 90.00°, γ = 90.00°
Space group F-43m (No. 216)
Inequivalent atoms, fractional coordinates:
Ba: 0.0000 0.0000 0.0000
Np: 0.0000 0.0000 0.5000
Hg: 0.2500 0.2500 0.2500

Uncorrected energy, eV/atom: -4.433
Calculated volume, Å³/atom: 38.06

Entry 23:
The following is a DFT calculation (PBE) of a relaxed structure of Ba2Hg2O5.

a = 4.3324 Å, b = 4.3324 Å, c = 8.1412 Å
α = 90.00°, β = 90.00°, γ = 90.00°
Space group P4/mmm (No. 123)
Inequivalent atoms, fractional coordinates:
Ba: 0.0000 0.0000 0.0000
Ba: 0.0000 0.0000 0.5000
Hg: 0.5000 0.5000 0.2269
O: 0.0000 0.5000 0.2185
O: 0.5000 0.5000 0.5000

Uncorrected energy, eV/atom: -4.413
Calculated volume, Å³/atom: 16.98

Entry 24:
The following is a DFT calculation (PBE) of a relaxed structure of Ba2Hg2O5.

a = 4.7453 Å, b = 4.7453 Å, c = 8.8341 Å
α = 90.00°, β = 90.00°, γ = 90.00°
Space group P4/mmm (No. 123)
Inequivalent atoms, fractional coordinates:
Ba: 0.0000 0.0000 0.2293
Hg: 0.5000 0.5000 0.0000
Hg: 0.5000 0.5000 0.5000
O: 0.0000 0.0000 0.5000
O: 0.0000 0.5000 0.0878

Uncorrected energy, eV/atom: -4.119
Calculated volume, Å³/atom: 22.10

Entry 25:
The following is a DFT calculation (PBE) of a relaxed structure of BaHgSO.

a = 6.4693 Å, b = 9.6678 Å, c = 6.3945 Å
α = 90.00°, β = 90.00°, γ = 90.00°
Space group Pca2_1 (No. 29)
Inequivalent atoms, fractional coordinates:
Ba: 0.0021 0.1824 0.0000
Hg: 0.0259 0.6013 0.0081
S: 0.0019 0.8548 0.9999
O: 0.1004 0.5843 0.6215

Uncorrected energy, eV/atom: -4.063
Calculated volume, Å³/atom: 25.00